# MnCdInSn2

An optimized crystal structure of MnCdInSn2 (PBE, Alexandria via LeMat-Bulk).

```
MnCdInSn2
1.0
4.9636 0.0000 0.0000
0.0000 4.9636 0.0000
0.0000 0.0000 5.2406
Mn Cd In Sn
1 1 1 2
direct
0.0000 0.0000 0.0000 Mn
0.0000 0.0000 0.5000 Cd
0.5000 0.5000 0.5000 In
0.0000 0.5000 0.0000 Sn
0.5000 0.0000 0.0000 Sn
```

Values from the calculation:
energy: -19.6 eV for the cell shown
calculated formation energy: 0.25 eV per atom
energy above the lowest structure with this stoichiometry: 0.0836 eV/atom
mass density: 6.68 g/cm³